The following is a PBE calculation of Tb3Tl after structural relaxation, from the Alexandria database.

a b c (Å): 3.530 5.506 6.111
angles (deg): 90.00 90.00 90.00
Space group Pmm2 (No. 25)
One atom of each set of equivalent atoms:
Tb 0.000 0.000 0.000 (multiplicity 1)
Tb 0.000 0.500 0.348 (multiplicity 1)
Tb 0.500 0.000 0.513 (multiplicity 1)
Tl 0.500 0.500 0.829 (multiplicity 1)

Results
**DFT formation energy**: -101 meV/atom
**Total magnetic moment**: 0.000 μB/f.u.

The following is a PBE calculation of Tb2Tl after structural relaxation, from the Alexandria database.

a b c (Å): 5.4337 5.4337 6.7552
angles (deg): 90.00 90.00 120.00
Space group P6_3/mmc (No. 194)
One atom of each set of equivalent atoms:
Tb 0.0000 0.0000 0.0000 (multiplicity 2)
Tb 0.3333 0.6667 0.2500 (multiplicity 2)
Tl 0.3333 0.6667 0.7500 (multiplicity 2)

Results
**DFT formation energy**: -262 meV/atom
**Total magnetic moment**: 0.592 μB/f.u.

The following is a PBE calculation of Tb3Tl after structural relaxation, from the Alexandria database.

a b c (Å): 7.756 7.756 7.756
angles (deg): 90.00 90.00 90.00
Space group Fm-3m (No. 225)
One atom of each set of equivalent atoms:
Tb 0.000 0.000 0.000 (multiplicity 4)
Tb 0.250 0.250 0.250 (multiplicity 8)
Tl 0.000 0.000 0.500 (multiplicity 4)

Results
**DFT formation energy**: -30 meV/atom
**Total magnetic moment**: 1.532 μB/f.u.